1.
The following is a DFT calculation (PBE-GGA) of NdSm6Er2 after structural relaxation.

Output
offset from the most stable computed form = 201 meV/atom

Cell lengths 7.5514, 7.5514, 6.1216 Å; angles 90.00, 90.00, 120.00 degrees
Space group P-3m1 (No. 164)
Asymmetric unit:
Nd 0.0000 0.0000 0.0000 x1
Sm 0.1884 0.3768 0.7102 x6
Er 0.3333 0.6667 0.2179 x2

2.
The following is a DFT calculation (PBE-GGA) of Nd12Sm6Er after structural relaxation.

Output
offset from the most stable computed form = 0 meV/atom

Cell lengths 12.2663, 12.2663, 15.3685 Å; angles 90.00, 90.00, 120.00 degrees
Space group R-3 (No. 148, hexagonal axes)
Asymmetric unit:
Nd 0.0031 0.8301 0.1902 x18
Nd 0.0470 0.8507 0.4164 x18
Sm 0.0146 0.4246 0.6859 x18
Er 0.0000 0.0000 0.0000 x3

3.
The following is a DFT calculation (PBE-GGA) of Nd5Sm2Er after structural relaxation.

Output
offset from the most stable computed form = 0 meV/atom

Cell lengths 7.286, 14.603, 5.153 Å; angles 90.00, 90.00, 90.00 degrees
Space group Pbam (No. 55)
Asymmetric unit:
Nd 0.000 0.000 0.000 x2
Nd 0.000 0.252 0.000 x4
Nd 0.249 0.376 0.500 x4
Sm 0.249 0.624 0.500 x4
Er 0.000 0.500 0.000 x2

4.
The following is a DFT calculation (PBE-GGA) of Nd15Sm4Er after structural relaxation.

Cell lengths 5.185, 5.185, 25.834 Å; angles 90.00, 90.00, 90.00 degrees
Space group P4/mmm (No. 123)
Asymmetric unit:
Nd 0.000 0.000 0.000 x1
Nd 0.000 0.000 0.199 x2
Nd 0.000 0.000 0.400 x2
Nd 0.000 0.500 0.099 x4
Nd 0.000 0.500 0.299 x4
Nd 0.000 0.500 0.500 x2
Sm 0.500 0.500 0.199 x2
Sm 0.500 0.500 0.400 x2
Er 0.500 0.500 0.000 x1

5.
The following is a DFT calculation (PBE-GGA) of NdSm8Er2 after structural relaxation.

Output
offset from the most stable computed form = 0 meV/atom

Cell lengths 11.908, 7.097, 9.079 Å; angles 90.00, 102.75, 90.00 degrees
Space group C2/m (No. 12)
Asymmetric unit:
Nd 0.000 0.000 0.000 x2
Sm 0.057 0.276 0.326 x8
Sm 0.156 0.500 0.002 x4
Sm 0.207 0.500 0.658 x4
Er 0.168 0.000 0.650 x4

6.
The following is a DFT calculation (PBE-GGA) of Nd8Sm3Er3 after structural relaxation.

Cell lengths 5.730, 10.946, 15.286 Å; angles 90.00, 90.00, 90.00 degrees
Space group Immm (No. 71)
Asymmetric unit:
Nd 0.000 0.158 0.223 x8
Nd 0.000 0.337 0.397 x8
Sm 0.000 0.000 0.500 x2
Sm 0.000 0.500 0.179 x4
Er 0.000 0.000 0.000 x2
Er 0.000 0.300 0.000 x4

no.,E_tot (eV per formula unit),calculated formation energy (meV/atom)
1,-40.2,218
2,-87.6,129
3,-37.7,15
4,-94.7,13
5,-50.1,143
6,-64.6,102